No. 1
Material: NaZrAs2Br
Method: DFT, GGA-PBE
State: relaxed

Cell and atoms, written as extended XYZ:
```
5
Lattice="-1.5009 -0.6530 4.6950 3.4907 -3.4840 0.6313 3.2168 3.4976 1.5148" Properties=species:S:1:pos:R:3 pbc="T T T"
Na 0.0000 0.0000 0.0000
Br 1.6084 1.7488 0.7574
As -0.7504 -0.3265 2.3475
Zr 2.6033 -0.3197 3.4206
As 1.7454 -1.7420 0.3157
```

Computed properties:
- Uncorrected formation energy: 0.61 eV/atom
- Polymorph energy (0 for the lowest one): 520 kJ/mol of formula units

---

No. 2
Material: LiTaRh2
Method: DFT, GGA-PBE
State: relaxed

Cell and atoms, written as extended XYZ:
```
4
Lattice="-4.8233 7.0761 0.4329 -6.2323 5.4034 2.3421 -3.9132 6.9325 3.1860" Properties=species:S:1:pos:R:3 pbc="T T T"
Li -11.2266 14.5590 4.4708
Ta -3.7422 4.8530 1.4903
Rh -7.4903 9.7137 2.9829
Rh -14.9629 19.4043 5.9586
```

Computed properties:
- Polymorph energy (0 for the lowest one): 112 kJ/mol of formula units
- Energy relative to the elements: -25.31 kJ/mol of atoms

---

No. 3
Material: Y2MnNbSb
Method: DFT, GGA-PBE
State: relaxed

Cell and atoms, written as extended XYZ:
```
5
Lattice="5.2829 0.0000 0.0000 0.0000 4.4411 0.0000 0.0000 0.0000 5.2829" Properties=species:S:1:pos:R:3 pbc="T T T"
Y 2.6415 0.0000 0.0000
Mn 0.0000 0.0000 0.0000
Y 0.0000 0.0000 2.6415
Nb 0.0000 2.2205 0.0000
Sb 2.6415 2.2205 2.6415
```

Computed properties:
- Uncorrected formation energy: 0.10 eV/atom

---

No. 4
Material: USCl
Method: DFT, GGA-PBE
State: relaxed

Cell and atoms, written as extended XYZ:
```
6
Lattice="3.6986 0.0000 0.0000 0.0000 8.6640 -1.1496 -1.8493 -3.5635 5.6408" Properties=species:S:1:pos:R:3 pbc="T T T"
S 1.8493 1.4363 3.2617
Cl 0.0000 -2.2537 4.7067
U 0.0000 0.9938 1.3978
U 1.8493 4.1067 3.0934
Cl 1.8493 7.3542 -0.2155
S 0.0000 3.6642 1.2295
```

Computed properties:
- Uncorrected formation energy: -1.31 eV/atom

---

No. 5
Material: Hf2ZrVN
Method: DFT, GGA-PBE
State: relaxed

Cell and atoms, written as extended XYZ:
```
5
Lattice="4.5861 0.0000 0.0000 0.0000 4.5861 0.0000 0.0000 0.0000 3.9632" Properties=species:S:1:pos:R:3 pbc="T T T"
V 0.0000 0.0000 1.9816
Hf 2.2930 0.0000 0.0000
Hf 0.0000 2.2930 0.0000
Zr 2.2930 2.2930 1.9816
N 0.0000 0.0000 0.0000
```

Computed properties:
- Uncorrected formation energy: -0.60 eV/atom
- Polymorph energy (0 for the lowest one): 0 kJ/mol of formula units

---

No. 6
Material: LiGa2Ir
Method: DFT, GGA-PBE
State: relaxed

Cell and atoms, written as extended XYZ:
```
4
Lattice="4.1775 0.7667 0.7499 1.2421 3.8149 1.5826 1.4464 0.2856 4.0531" Properties=species:S:1:pos:R:3 pbc="T T T"
Ga 1.7165 1.2168 1.5964
Ir 3.4330 2.4336 3.1928
Li 0.0000 0.0000 0.0000
Ga 5.1495 3.6504 4.7892
```

Computed properties:
- Polymorph energy (0 for the lowest one): 0 kJ/mol of formula units
- Energy relative to the elements: -47.79 kJ/mol of atoms

---

no.,V (A^3/atom),DOS(E_F) (states/eV per atom),E (eV per atom)
1,24.66,0.72,-3.555
2,15.34,0.69,-7.380
3,24.79,1.36,-7.155
4,27.60,1.69,-7.065
5,16.67,1.19,-9.780
6,14.18,0.45,-4.702